This record from Alexandria describes a relaxed InSe2 crystal. The functional is PBE-GGA.

Values from the calculation:
Symmetry   Pbcn, No. 60
ΔE_f (raw)   -0.64 eV/f.u.
Total energy   -10.4 eV per formula unit
Crystal system   orthorhombic

Cell lengths 5.603, 7.329, 7.786 Å; angles 90.00, 90.00, 90.00 degrees
Positions (direct):
In1 0.000 0.250 0.883
In2 0.000 0.750 0.117
In3 0.500 0.750 0.617
In4 0.500 0.250 0.383
Se1 0.800 0.054 0.599
Se2 0.200 0.446 0.599
Se3 0.200 0.946 0.401
Se4 0.300 0.946 0.901
Se5 0.700 0.054 0.099
Se6 0.300 0.446 0.099
Se7 0.700 0.554 0.901
Se8 0.800 0.554 0.401